1.
## TmSb3S6 (PBE)

Data for a relaxed structure of TmSb3S6. Values from VASP.

Cell and atoms, written as Quantum ESPRESSO input:
```
&SYSTEM
  ibrav = 0, nat = 10, ntyp = 3
/
ATOMIC_SPECIES
Tm 168.93 Tm.upf
Sb 121.76 Sb.upf
S 32.06 S.upf
CELL_PARAMETERS angstrom
4.797 -6.746 0.000
4.797 6.746 0.000
0.000 0.000 3.966
ATOMIC_POSITIONS crystal
Tm 0.000 0.000 0.000
Sb 0.000 0.500 0.500
Sb 0.500 0.000 0.500
Sb 0.500 0.500 0.000
S 0.144 0.856 0.500
S 0.164 0.399 0.000
S 0.399 0.164 0.000
S 0.601 0.836 0.000
S 0.836 0.601 0.000
S 0.856 0.144 0.500
```

Symmetry: No. 65
Excess energy over the best structure of this formula in the dataset: 0.199 eV/atom

---

2.
## Tm3SbS (PBE)

Data for a relaxed structure of Tm3SbS. Values from VASP.

Cell and atoms, written as Quantum ESPRESSO input:
```
&SYSTEM
  ibrav = 0, nat = 20, ntyp = 3
/
ATOMIC_SPECIES
Tm 168.93 Tm.upf
Sb 121.76 Sb.upf
S 32.06 S.upf
CELL_PARAMETERS angstrom
8.595 0.000 0.000
0.000 4.001 0.000
0.000 0.000 14.219
ATOMIC_POSITIONS crystal
Tm 0.027 0.250 0.112
Tm 0.163 0.250 0.516
Tm 0.209 0.750 0.279
Tm 0.291 0.250 0.779
Tm 0.337 0.750 0.016
Tm 0.473 0.750 0.612
Tm 0.527 0.250 0.388
Tm 0.663 0.250 0.984
Tm 0.709 0.750 0.221
Tm 0.791 0.250 0.721
Tm 0.837 0.750 0.484
Tm 0.973 0.750 0.888
Sb 0.061 0.750 0.673
Sb 0.439 0.250 0.173
Sb 0.561 0.750 0.827
Sb 0.939 0.250 0.327
S 0.162 0.250 0.946
S 0.338 0.750 0.446
S 0.662 0.250 0.554
S 0.838 0.750 0.054
```

Symmetry: No. 62
Excess energy over the best structure of this formula in the dataset: 0.000 eV/atom

---

3.
## Tm3SbS (PBE)

Data for a relaxed structure of Tm3SbS. Values from VASP.

Cell and atoms, written as Quantum ESPRESSO input:
```
&SYSTEM
  ibrav = 0, nat = 20, ntyp = 3
/
ATOMIC_SPECIES
Tm 168.93 Tm.upf
Sb 121.76 Sb.upf
S 32.06 S.upf
CELL_PARAMETERS angstrom
8.764 0.000 0.000
0.000 6.441 0.000
-3.905 0.000 9.161
ATOMIC_POSITIONS crystal
Tm 0.043 0.101 0.334
Tm 0.043 0.399 0.834
Tm 0.198 0.569 0.534
Tm 0.198 0.931 0.034
Tm 0.395 0.179 0.821
Tm 0.395 0.321 0.321
Tm 0.605 0.679 0.679
Tm 0.605 0.821 0.179
Tm 0.802 0.069 0.966
Tm 0.802 0.431 0.466
Tm 0.957 0.601 0.166
Tm 0.957 0.899 0.666
Sb 0.352 0.692 0.850
Sb 0.352 0.808 0.350
Sb 0.648 0.192 0.650
Sb 0.648 0.308 0.150
S 0.088 0.230 0.603
S 0.088 0.270 0.103
S 0.912 0.730 0.897
S 0.912 0.770 0.397
```

Symmetry: No. 14
Excess energy over the best structure of this formula in the dataset: 0.153 eV/atom

---

4.
## Tm5Sb4S (PBE)

Data for a relaxed structure of Tm5Sb4S. Values from VASP.

Cell and atoms, written as Quantum ESPRESSO input:
```
&SYSTEM
  ibrav = 0, nat = 10, ntyp = 3
/
ATOMIC_SPECIES
Tm 168.93 Tm.upf
Sb 121.76 Sb.upf
S 32.06 S.upf
CELL_PARAMETERS angstrom
-4.740 4.740 3.020
4.740 -4.740 3.020
4.740 4.740 -3.020
ATOMIC_POSITIONS crystal
Tm 0.000 0.000 0.000
Tm 0.216 0.600 0.814
Tm 0.403 0.216 0.616
Tm 0.600 0.787 0.384
Tm 0.787 0.403 0.186
Sb 0.096 0.304 0.396
Sb 0.304 0.907 0.208
Sb 0.699 0.096 0.792
Sb 0.907 0.699 0.604
S 0.502 0.502 0.000
```

Symmetry: No. 79
Excess energy over the best structure of this formula in the dataset: 0.000 eV/atom

---

5.
## TmSbS3 (PBE)

Data for a relaxed structure of TmSbS3. Values from VASP.

Cell and atoms, written as Quantum ESPRESSO input:
```
&SYSTEM
  ibrav = 0, nat = 10, ntyp = 3
/
ATOMIC_SPECIES
Tm 168.93 Tm.upf
Sb 121.76 Sb.upf
S 32.06 S.upf
CELL_PARAMETERS angstrom
6.738 0.000 0.000
-3.369 5.835 0.000
0.000 0.000 6.865
ATOMIC_POSITIONS crystal
Tm 0.000 0.000 0.000
Tm 0.000 0.000 0.500
Sb 0.667 0.333 0.000
Sb 0.667 0.333 0.500
S 0.327 0.027 0.250
S 0.327 0.299 0.750
S 0.701 0.027 0.750
S 0.701 0.673 0.250
S 0.973 0.299 0.250
S 0.973 0.673 0.750
```

Symmetry: No. 188
Excess energy over the best structure of this formula in the dataset: 0.139 eV/atom

---

6.
## USbS2 (PBE)

Data for a relaxed structure of USbS2. Values from VASP.

Cell and atoms, written as Quantum ESPRESSO input:
```
&SYSTEM
  ibrav = 0, nat = 12, ntyp = 3
/
ATOMIC_SPECIES
U 238.03 U.upf
Sb 121.76 Sb.upf
S 32.06 S.upf
CELL_PARAMETERS angstrom
3.674 0.000 0.000
-1.837 3.181 0.000
0.000 0.000 26.351
ATOMIC_POSITIONS crystal
U 0.000 0.000 0.000
U 0.333 0.667 0.667
U 0.667 0.333 0.333
Sb 0.000 0.000 0.500
Sb 0.333 0.667 0.167
Sb 0.667 0.333 0.833
S 0.000 0.000 0.101
S 0.000 0.000 0.899
S 0.333 0.667 0.565
S 0.333 0.667 0.768
S 0.667 0.333 0.232
S 0.667 0.333 0.435
```

Symmetry: No. 166

---

7.
## USbS (PBE)

Data for a relaxed structure of USbS. Values from VASP.

Cell and atoms, written as Quantum ESPRESSO input:
```
&SYSTEM
  ibrav = 0, nat = 12, ntyp = 3
/
ATOMIC_SPECIES
U 238.03 U.upf
Sb 121.76 Sb.upf
S 32.06 S.upf
CELL_PARAMETERS angstrom
3.923 0.000 0.000
0.000 11.462 0.000
0.000 0.000 6.287
ATOMIC_POSITIONS crystal
U 0.000 0.080 0.250
U 0.000 0.920 0.750
U 0.500 0.420 0.750
U 0.500 0.580 0.250
Sb 0.000 0.207 0.750
Sb 0.000 0.793 0.250
Sb 0.500 0.293 0.250
Sb 0.500 0.707 0.750
S 0.000 0.500 0.000
S 0.000 0.500 0.500
S 0.500 0.000 0.000
S 0.500 0.000 0.500
```

Symmetry: No. 63
Excess energy over the best structure of this formula in the dataset: 0.158 eV/atom

---

8.
## U3SbS3 (PBE)

Data for a relaxed structure of U3SbS3. Values from VASP.

Cell and atoms, written as Quantum ESPRESSO input:
```
&SYSTEM
  ibrav = 0, nat = 14, ntyp = 3
/
ATOMIC_SPECIES
U 238.03 U.upf
Sb 121.76 Sb.upf
S 32.06 S.upf
CELL_PARAMETERS angstrom
3.873 2.236 7.195
-3.873 2.236 7.195
0.000 -4.472 7.195
ATOMIC_POSITIONS crystal
U 0.004 0.412 0.792
U 0.208 0.996 0.588
U 0.412 0.792 0.004
U 0.588 0.208 0.996
U 0.792 0.004 0.412
U 0.996 0.588 0.208
Sb 0.165 0.165 0.165
Sb 0.835 0.835 0.835
S 0.136 0.651 0.378
S 0.349 0.622 0.864
S 0.378 0.136 0.651
S 0.622 0.864 0.349
S 0.651 0.378 0.136
S 0.864 0.349 0.622
```

Symmetry: No. 148

---

9.
## USbS (PBE)

Data for a relaxed structure of USbS. Values from VASP.

Cell and atoms, written as Quantum ESPRESSO input:
```
&SYSTEM
  ibrav = 0, nat = 6, ntyp = 3
/
ATOMIC_SPECIES
U 238.03 U.upf
Sb 121.76 Sb.upf
S 32.06 S.upf
CELL_PARAMETERS angstrom
3.483 0.000 0.000
0.000 3.483 0.000
0.000 0.000 11.711
ATOMIC_POSITIONS crystal
U 0.000 0.000 0.000
U 0.500 0.500 0.500
Sb 0.000 0.000 0.303
Sb 0.500 0.500 0.803
S 0.000 0.000 0.599
S 0.500 0.500 0.099
```

Symmetry: No. 107
Excess energy over the best structure of this formula in the dataset: 0.230 eV/atom

---

10.
## U2SbS2 (PBE)

Data for a relaxed structure of U2SbS2. Values from VASP.

Cell and atoms, written as Quantum ESPRESSO input:
```
&SYSTEM
  ibrav = 0, nat = 5, ntyp = 3
/
ATOMIC_SPECIES
U 238.03 U.upf
Sb 121.76 Sb.upf
S 32.06 S.upf
CELL_PARAMETERS angstrom
2.778 0.000 0.000
0.000 2.778 0.000
0.000 0.000 16.109
ATOMIC_POSITIONS crystal
U 0.000 0.000 0.200
U 0.000 0.000 0.800
Sb 0.000 0.000 0.000
S 0.000 0.000 0.366
S 0.000 0.000 0.634
```

Symmetry: No. 123

---

11.
## U2SbS (PBE)

Data for a relaxed structure of U2SbS. Values from VASP.

Cell and atoms, written as Quantum ESPRESSO input:
```
&SYSTEM
  ibrav = 0, nat = 12, ntyp = 3
/
ATOMIC_SPECIES
U 238.03 U.upf
Sb 121.76 Sb.upf
S 32.06 S.upf
CELL_PARAMETERS angstrom
3.976 0.000 0.000
-1.988 3.443 0.000
0.000 0.000 21.711
ATOMIC_POSITIONS crystal
U 0.000 0.000 0.000
U 0.000 0.000 0.194
U 0.333 0.667 0.667
U 0.333 0.667 0.861
U 0.667 0.333 0.333
U 0.667 0.333 0.528
Sb 0.000 0.000 0.429
Sb 0.333 0.667 0.096
Sb 0.667 0.333 0.763
S 0.000 0.000 0.599
S 0.333 0.667 0.265
S 0.667 0.333 0.932
```

Symmetry: No. 160
Excess energy over the best structure of this formula in the dataset: 0.071 eV/atom

---

12.
## U2SbS (PBE)

Data for a relaxed structure of U2SbS. Values from VASP.

Cell and atoms, written as Quantum ESPRESSO input:
```
&SYSTEM
  ibrav = 0, nat = 12, ntyp = 3
/
ATOMIC_SPECIES
U 238.03 U.upf
Sb 121.76 Sb.upf
S 32.06 S.upf
CELL_PARAMETERS angstrom
4.122 0.000 0.000
-2.061 3.570 0.000
0.000 0.000 20.097
ATOMIC_POSITIONS crystal
U 0.000 0.000 0.235
U 0.000 0.000 0.765
U 0.333 0.667 0.431
U 0.333 0.667 0.902
U 0.667 0.333 0.098
U 0.667 0.333 0.569
Sb 0.000 0.000 0.000
Sb 0.333 0.667 0.667
Sb 0.667 0.333 0.333
S 0.000 0.000 0.500
S 0.333 0.667 0.167
S 0.667 0.333 0.833
```

Symmetry: No. 166
Excess energy over the best structure of this formula in the dataset: 0.000 eV/atom

---

Formation energy from raw total energies, record by record: -481, -584, -510, -1173, -481, 23, -215, -625, -195, 258, -258, -286 kJ/mol of formula units